DFT (GGA-PBE) results for Ba3YS after structural relaxation.

Cell: 6.2248 6.2248 6.2248 Å, 90.00 90.00 90.00°
Last column: nearest neighbours and their distance in Å.
Space group Pm-3m (No. 221)
Asymmetric unit:
Ba 0.0000 0.0000 0.5000 [3 per cell]  2 Y 3.11
Y 0.0000 0.0000 0.0000 [1 per cell]  6 Ba 3.11
S 0.5000 0.5000 0.5000 [1 per cell]  12 Ba 4.40

Summary:
**Spin magnetization**: 0.000 Bohr magnetons per cell
**Relative energy among the computed polymorphs**: 1.017 eV/atom
**Electronic total energy**: -2.77 eV/atom
**ΔE_f (raw)**: 0.499 eV/atom